(1)
The following is a DFT calculation (PBE) of a geometry-optimized SrScIn structure.

Results
total magnetization = 0.000 μB/atom
polymorph energy (0 for the lowest one) = 253 meV per atom
raw total energy = -43.75 eV/cell

Cell: 7.248 4.890 9.941 Å, 90.00 90.00 90.00°
Fractional coordinates of all 12 atoms:
Sc: 0.396 0.250 0.398
Sc: 0.104 0.750 0.898
Sc: 0.604 0.750 0.602
Sc: 0.896 0.250 0.102
Sr: 0.863 0.250 0.431
Sr: 0.637 0.750 0.931
Sr: 0.137 0.750 0.569
Sr: 0.363 0.250 0.069
In: 0.889 0.250 0.780
In: 0.611 0.750 0.280
In: 0.111 0.750 0.220
In: 0.389 0.250 0.720


(2)
The following is a DFT calculation (PBE) of a geometry-optimized Zr2AlW structure.

Results
total magnetization = 0.000 μB/atom
raw total energy = -33.59 eV/cell

Cell: 4.735 4.735 4.735 Å, 60.00 60.00 60.00°
Fractional coordinates of all 4 atoms:
Zr: 0.000 0.000 0.000
Zr: 0.250 0.250 0.250
W: 0.750 0.750 0.750
Al: 0.500 0.500 0.500


(3)
The following is a DFT calculation (PBE) of a geometry-optimized KCd2Hg structure.

Results
total magnetization = 0.000 μB/atom
raw total energy = -15.00 eV/cell

Cell: 4.987 9.655 10.586 Å, 90.00 90.00 104.96°
Fractional coordinates of all 16 atoms:
K: 0.500 0.000 0.500
K: 0.500 0.000 0.000
K: 0.695 0.390 0.250
K: 0.305 0.610 0.750
Cd: 0.106 0.212 0.750
Cd: 0.051 0.102 0.250
Cd: 0.894 0.788 0.250
Cd: 0.949 0.898 0.750
Cd: 0.309 0.618 0.390
Cd: 0.691 0.382 0.610
Cd: 0.691 0.382 0.890
Cd: 0.309 0.618 0.110
Hg: 0.850 0.700 0.530
Hg: 0.150 0.300 0.030
Hg: 0.850 0.700 0.970
Hg: 0.150 0.300 0.470


(4)
The following is a DFT calculation (PBE) of a geometry-optimized NaSr6 structure.

Results
total magnetization = 0.000 μB/atom
polymorph energy (0 for the lowest one) = 862 meV per atom
raw total energy = -5.24 eV/cell

Cell: 9.824 9.824 9.824 Å, 109.47 109.47 109.47°
Fractional coordinates of all 7 atoms:
Na: 0.000 0.000 0.000
Sr: 0.250 0.750 0.500
Sr: 0.500 0.750 0.250
Sr: 0.250 0.500 0.750
Sr: 0.750 0.250 0.500
Sr: 0.500 0.250 0.750
Sr: 0.750 0.500 0.250